The following is a DFT calculation (GGA-PBE) of crystalline PmHoMnHg at its relaxed geometry.

Lattice parameters (Å, degrees): 5.2028 5.2028 5.2028 60.00 60.00 60.00
Last column: magnetic moment on the atom in μB.
Element x y z (fractional)
Pm1 0.7500 0.7500 0.7500  -0.21
Hg1 0.5000 0.5000 0.5000  -0.04
Mn1 0.0000 0.0000 0.0000  3.61
Ho1 0.2500 0.2500 0.2500  -0.30

Properties
Formation energy (kJ/mol of formula units): -26
Density of states at the Fermi level (states/eV/f.u.): 5.350
Total energy (eV per cell): -19.07
Space-group type: F-43m (216)

=====

The following is a DFT calculation (GGA-PBE) of crystalline CrPt2Rh4 at its relaxed geometry.

Lattice parameters (Å, degrees): 5.4023 7.2800 6.4723 110.74 101.99 111.51
Last column: magnetic moment on the atom in μB.
Element x y z (fractional)
Cr1 0.1789 0.6747 0.4381  2.13
Cr2 0.9513 0.9940 0.8960  1.64
Rh1 0.7164 0.1416 0.6387  -0.21
Rh2 0.4542 0.5745 0.7480  -0.28
Rh3 0.4284 0.2434 0.3096  -0.32
Rh4 0.9412 0.2574 0.3278  -0.30
Rh5 0.9631 0.5802 0.7500  -0.28
Rh6 0.9413 0.8404 0.1643  -0.18
Rh7 0.1916 0.4017 0.0418  -0.28
Rh8 0.4405 0.9686 0.8705  -0.18
Pt1 0.6975 0.6983 0.4584  -0.10
Pt2 0.1984 0.1242 0.6239  -0.10
Pt3 0.7019 0.4114 0.0433  -0.12
Pt4 0.4451 0.8398 0.1896  -0.12

Properties
Formation energy (kJ/mol of formula units): -2
Density of states at the Fermi level (states/eV/f.u.): 9.908
Total energy (eV per cell): -102.27
Space-group type: P1 (1)

=====

The following is a DFT calculation (GGA-PBE) of crystalline Mg2InNiRh at its relaxed geometry.

Lattice parameters (Å, degrees): 5.0752 4.5903 5.0752 90.00 90.00 90.00
Element x y z (fractional)
Ni1 0.0000 0.5000 0.0000
Mg1 0.0000 0.0000 0.5000
Mg2 0.5000 0.0000 0.0000
Rh1 0.5000 0.5000 0.5000
In1 0.0000 0.0000 0.0000

Properties
Formation energy (kJ/mol of formula units): 475
Density of states at the Fermi level (states/eV/f.u.): 2.664
Total energy (eV per cell): -14.13
Space-group type: P4/mmm (123)

=====

The following is a DFT calculation (GGA-PBE) of crystalline LaOsW2 at its relaxed geometry.

Lattice parameters (Å, degrees): 5.5772 5.5772 2.8283 90.00 90.00 121.77
Element x y z (fractional)
La1 0.5000 0.0000 0.5000
Os1 0.0000 0.5000 0.5000
W1 0.0000 0.0000 0.0000
W2 0.5000 0.5000 0.0000

Properties
Formation energy (kJ/mol of formula units): 353
Density of states at the Fermi level (states/eV/f.u.): 4.641
Energy above the lowest structure with this stoichiometry (eV/atom): 0.5214
Total energy (eV per cell): -38.41
Space-group type: Cmmm (65)

=====

The following is a DFT calculation (GGA-PBE) of crystalline CaNdCd14 at its relaxed geometry.

Lattice parameters (Å, degrees): 6.6731 6.6731 8.5450 90.00 90.00 89.99
Element x y z (fractional)
Ca1 0.3750 0.3750 0.5000
Nd1 0.8750 0.8750 0.5000
Cd1 0.8750 0.8750 0.0000
Cd2 0.3750 0.3750 0.0000
Cd3 0.8750 0.3750 0.5000
Cd4 0.8750 0.3750 0.0000
Cd5 0.3750 0.8750 0.5000
Cd6 0.3750 0.8750 0.0000
Cd7 0.6238 0.1262 0.2371
Cd8 0.6238 0.1262 0.7629
Cd9 0.1262 0.6238 0.2371
Cd10 0.1262 0.6238 0.7629
Cd11 0.6238 0.6238 0.2370
Cd12 0.6238 0.6238 0.7630
Cd13 0.1262 0.1262 0.2371
Cd14 0.1262 0.1262 0.7629

Properties
Formation energy (kJ/mol of formula units): -220
Density of states at the Fermi level (states/eV/f.u.): 4.560
Total energy (eV per cell): -21.86
Space-group type: P4/mmm (123)

=====

The following is a DFT calculation (GGA-PBE) of crystalline AcCe2Ge at its relaxed geometry.

Lattice parameters (Å, degrees): 4.8251 4.8251 6.8751 69.46 69.46 60.00
Last column: magnetic moment on the atom in μB.
Element x y z (fractional)
Ac1 0.0000 0.0000 0.0000  0.18
Ge1 0.5000 0.5000 0.5000  -0.01
Ce1 0.2236 0.2236 0.3293  0.82
Ce2 0.7764 0.7764 0.6707  0.82

Properties
Formation energy (kJ/mol of formula units): -11
Density of states at the Fermi level (states/eV/f.u.): 12.053
Energy above the lowest structure with this stoichiometry (eV/atom): 0.2915
Total energy (eV per cell): -20.71
Space-group type: R-3m (166)

=====

The following is a DFT calculation (GGA-PBE) of crystalline CeNiGeH at its relaxed geometry.

Lattice parameters (Å, degrees): 4.2353 4.2347 3.7623 90.00 90.00 120.01
Element x y z (fractional)
Ce1 0.5719 0.1438 0.3098
Ni1 0.2386 0.4772 0.8100
Ge1 0.9052 0.8105 0.8097
H1 0.2386 0.4771 0.3096

Properties
Density of states at the Fermi level (states/eV/f.u.): 2.515
Total energy (eV per cell): -22.44
Space-group type: P-6m2 (187)

=====

The following is a DFT calculation (GGA-PBE) of crystalline Ce2Si3SnIr4 at its relaxed geometry.

Lattice parameters (Å, degrees): 4.1911 4.1911 10.3681 90.00 90.00 90.00
Last column: magnetic moment on the atom in μB.
Element x y z (fractional)
Ce1 0.5000 0.0000 0.2453  0.40
Ce2 0.0000 0.5000 0.7547  0.40
Si1 0.0000 0.0000 0.5000  0.00
Si2 0.5000 0.0000 0.8766  0.00
Si3 0.0000 0.5000 0.1234  0.00
Sn1 0.5000 0.5000 0.5000  0.00
Ir1 0.5000 0.5000 0.0000  0.00
Ir2 0.0000 0.0000 0.0000  0.00
Ir3 0.5000 0.0000 0.6484  -0.02
Ir4 0.0000 0.5000 0.3516  -0.02

Properties
Formation energy from raw total energies (eV per atom): -0.89
Density of states at the Fermi level (states/eV/f.u.): 6.697
Total energy (eV per cell): -76.50
Space-group type: P-4m2 (115)

=====

The following is a DFT calculation (GGA-PBE) of crystalline YBe2Br at its relaxed geometry.

Lattice parameters (Å, degrees): 3.5093 4.5206 4.6758 90.00 90.00 90.00
Element x y z (fractional)
Y1 0.0000 0.5000 0.5000
Be1 0.0000 0.0000 0.0000
Be2 0.5000 0.5000 0.0000
Br1 0.5000 0.0000 0.5000

Properties
Formation energy from raw total energies (eV per atom): 0.35
Density of states at the Fermi level (states/eV/f.u.): 2.056
Energy above the lowest structure with this stoichiometry (eV/atom): 0.5328
Total energy (eV per cell): -14.20
Space-group type: Pmmm (47)

=====

The following is a DFT calculation (GGA-PBE) of crystalline Cs2YAg2Br6 at its relaxed geometry.

Lattice parameters (Å, degrees): 8.1685 8.1224 9.1518 117.27 90.00 120.19
Last column: magnetic moment on the atom in μB.
Element x y z (fractional)
Cs1 0.7125 0.4251 0.1831  0.00
Cs2 0.2875 0.5749 0.8169  0.00
Y1 0.5000 0.0000 0.5000  0.05
Ag1 0.9526 0.9053 0.8258  0.12
Ag2 0.0474 0.0947 0.1742  0.12
Br1 0.7246 0.4491 0.5877  0.02
Br2 0.2094 0.8900 0.2402  0.03
Br3 0.3194 0.1100 0.7598  0.03
Br4 0.7906 0.1100 0.7598  0.03
Br5 0.6806 0.8900 0.2402  0.03
Br6 0.2754 0.5509 0.4123  0.02

Properties
Formation energy from raw total energies (eV per atom): -1.27
Density of states at the Fermi level (states/eV/f.u.): 1.907
Total energy (eV per cell): -37.87
Space-group type: C2/m (12)

=====

The following is a DFT calculation (GGA-PBE) of crystalline TbCeInOs at its relaxed geometry.

Lattice parameters (Å, degrees): 3.3598 3.3598 8.5216 90.00 90.00 90.00
Last column: magnetic moment on the atom in μB.
Element x y z (fractional)
Tb1 0.5000 0.5000 0.7779  0.01
Ce1 0.5000 0.5000 0.3672  0.16
In1 0.0000 0.0000 0.0678  0.00
Os1 0.0000 0.0000 0.5718  -0.02

Properties
Formation energy (kJ/mol of formula units): -129
Density of states at the Fermi level (states/eV/f.u.): 3.606
Energy above the lowest structure with this stoichiometry (eV/atom): 0.0000
Total energy (eV per cell): -25.87
Space-group type: P4mm (99)